{"formula": "NdEr3Sc3", "functional": "PBE", "state": "optimized geometry", "lattice_angstrom": [[5.2148, 3.0108, 2.2252], [-5.2148, 3.0108, 2.2252], [0.0000, -6.0216, 2.2252]], "species": ["Nd", "Er", "Er", "Er", "Sc", "Sc", "Sc"], "fractional_positions": [[0.0000, 0.0000, 0.0000], [0.5199, 0.5199, 0.9337], [0.5199, 0.9337, 0.5199], [0.9337, 0.5199, 0.5199], [0.0228, 0.0228, 0.4927], [0.0228, 0.4927, 0.0228], [0.4927, 0.0228, 0.0228]], "energy_ev_per_atom": -5.069, "spacegroup": "No. 160", "formation_enthalpy_0k_ev_per_atom": 0.2810, "magnetic_moment_mub_per_fu": 0.000, "relative_energy_mev_per_atom": 95}